Material: SbS2BrN
Method: DFT, PBE
State: relaxed

The structure in POSCAR format:
```
SbS2BrN
1.0
5.1647 0.0000 0.0000
0.0000 5.1647 0.0000
0.0000 0.0000 3.9467
Sb S Br N
1 2 1 1
Direct
0.0000 0.0000 0.0000
0.0000 0.5000 0.0000
0.5000 0.0000 0.0000
0.5000 0.5000 0.5000
0.0000 0.0000 0.5000
```

Properties
For the formation energy from raw total energies, the calculation gives 1082 meV/atom. Its energy is -3.39 eV per atom. The value obtained for the energy above the most stable polymorph in this dataset is 0 meV/atom.